Below is a relaxed structure of Er5SbRh2, with properties calculated at the PBE level.

abc: 7.7040 7.7040 8.5858
angles: 116.66 116.66 90.00
Fractional positions:
1 Rh 0.3603 0.8603 0.0000
2 Rh 0.6397 0.1397 0.0000
3 Er 0.9799 0.4799 0.2724
4 Er 0.7075 0.2075 0.7276
5 Er 0.5000 0.5000 0.0000
6 Rh 0.1397 0.3603 0.0000
7 Sb 0.7500 0.7500 0.5000
8 Er 0.4799 0.2925 0.2724
9 Er 0.2925 0.7925 0.2724
10 Er 0.5201 0.7075 0.7276
11 Rh 0.8603 0.6397 0.0000
12 Sb 0.2500 0.2500 0.5000
13 Er 0.0201 0.5201 0.7276
14 Er 0.2075 0.0201 0.7276
15 Er 0.0000 0.0000 0.0000
16 Er 0.7925 0.9799 0.2724

Crystal system   tetragonal
Formation energy (no corrections)   -0.81 eV per atom
Space group   I4/mcm, No. 140
VASP energy   -6.013 eV per atom


Below is a relaxed structure of NbTcI2O, with properties calculated at the PBE level.

abc: 5.7245 5.7245 3.8848
angles: 90.00 90.00 90.00
Site moments in Bohr magnetons follow the coordinates.
Fractional positions:
1 Nb 0.0000 0.0000 0.0000  -0.32
2 I 0.0000 0.5000 0.0000  0.04
3 O 0.0000 0.0000 0.5000  0.02
4 Tc 0.5000 0.5000 0.5000  3.51
5 I 0.5000 0.0000 0.0000  0.04

Crystal system   tetragonal
Formation energy (no corrections)   0.19 eV per atom
Space group   P4/mmm, No. 123
Offset from the most stable computed form   0.000 eV/atom
VASP energy   -5.507 eV per atom


Below is a relaxed structure of Tb3Te2H, with properties calculated at the PBE level.

abc: 6.0527 8.2008 8.2008
angles: 121.13 90.00 90.00
Site moments in Bohr magnetons follow the coordinates.
Fractional positions:
1 Te 0.9690 0.5137 0.1988  0.01
2 Te 0.9690 0.1988 0.5137  0.01
3 Tb 0.9680 0.8813 0.6042  0.05
4 Tb 0.4680 0.3958 0.1187  0.05
5 Tb 0.4753 0.9012 0.9012  0.12
6 H 0.1087 0.8365 0.8365  0.00
7 Tb 0.9753 0.0988 0.0988  0.12
8 H 0.6087 0.1635 0.1635  0.00
9 Tb 0.9680 0.6042 0.8813  0.05
10 Te 0.4690 0.8012 0.4863  0.01
11 Tb 0.4680 0.1187 0.3958  0.05
12 Te 0.4690 0.4863 0.8012  0.01

Crystal system   orthorhombic
Space group   Cmc2_1, No. 36
VASP energy   -4.750 eV per atom


Below is a relaxed structure of Sm6Y3Sc, with properties calculated at the PBE level.

abc: 8.3258 9.0577 6.2348
angles: 98.76 131.89 90.00
Fractional positions:
1 Sm 0.6964 0.6429 0.7632
2 Y 0.7805 0.2602 0.5610
3 Sm 0.3789 0.1307 0.7579
4 Sm 0.0668 0.6429 0.7632
5 Sc 0.5000 0.5000 0.0000
6 Y 0.0000 0.0000 0.0000
7 Sm 0.6211 0.8693 0.2421
8 Y 0.2195 0.7398 0.4390
9 Sm 0.9332 0.3571 0.2368
10 Sm 0.3036 0.3571 0.2368

Crystal system   monoclinic
Space group   C2/m, No. 12
Offset from the most stable computed form   0.146 eV/atom
VASP energy   -5.123 eV per atom
Energy relative to the elements   27.1 kJ per mole of atoms


Below is a relaxed structure of TiNi3, with properties calculated at the PBE level.

abc: 4.1699 5.1049 5.1049
angles: 120.00 90.00 90.00
Fractional positions:
1 Ni 0.7500 0.3245 0.1623
2 Ni 0.7500 0.8377 0.6755
3 Ni 0.2500 0.1623 0.3245
4 Ti 0.7500 0.3333 0.6667
5 Ni 0.2500 0.6755 0.8377
6 Ti 0.2500 0.6667 0.3333
7 Ni 0.7500 0.8377 0.1623
8 Ni 0.2500 0.1623 0.8377

Crystal system   hexagonal
Space group   P6_3/mmc, No. 194
VASP energy   -6.775 eV per atom
Energy relative to the elements   -44.9 kJ per mole of atoms


Below is a relaxed structure of CeU2Tc2, with properties calculated at the PBE level.

abc: 5.7558 5.7558 7.7985
angles: 90.00 90.00 124.85
Fractional positions:
1 Ce 0.8577 0.1423 0.2500
2 U 0.6696 0.3303 0.5242
3 Tc 0.4656 0.5344 0.7500
4 U 0.3304 0.6697 0.4758
5 Ce 0.1423 0.8577 0.7500
6 Tc 0.5344 0.4656 0.2500
7 Tc 0.1595 0.8405 0.2500
8 U 0.6697 0.3304 0.9758
9 U 0.3303 0.6696 0.0242
10 Tc 0.8405 0.1595 0.7500

Crystal system   orthorhombic
Space group   Cmcm, No. 63
VASP energy   -9.723 eV per atom
Energy relative to the elements   12.1 kJ per mole of atoms